Entry 1:
LiAg5: optimized geometry, PBE.

It has space group P-62m (No. 189), with a = 5.0319 Å, b = 5.0319 Å, c = 4.7787 Å, α = 90.00°, β = 90.00° and γ = 120.00°. The distinct sites, in fractional coordinates, are Li at (0.0000, 0.0000, 0.0000), Ag at (0.0000, 0.6684, 0.5000) and Ag at (0.3333, 0.6667, 0.0000).

The total magnetic moment is 0.0 μB per formula unit. As for the relative energy among the computed polymorphs: 6.6 meV/atom. The calculation puts the total energy at -2.7720 eV/atom.

---

Entry 2:
Ba2PmOsO8: optimized geometry, PBE.

It has space group P2/m (No. 10), with a = 4.595 Å, b = 7.291 Å, c = 5.997 Å, α = 90.00°, β = 94.14° and γ = 90.00°. The distinct sites, in fractional coordinates, are Ba at (0.000, 0.243, 0.000), Pm at (0.500, 0.500, 0.500), Os at (0.500, 0.000, 0.500), O at (0.084, 0.000, 0.405), O at (0.089, 0.500, 0.264) and O at (0.448, 0.188, 0.710).

The total magnetic moment is 1.0 μB per formula unit. The calculation puts the total energy at -6.8266 eV/atom. The uncorrected formation energy comes out at -1869 meV/atom.

---

Entry 3:
KReMo: optimized geometry, PBE.

It has space group P3m1 (No. 156), with a = 2.9720 Å, b = 2.9720 Å, c = 8.0766 Å, α = 90.00°, β = 90.00° and γ = 120.00°. The distinct sites, in fractional coordinates, are K at (0.0000, 0.0000, 0.0000), Re at (0.3333, 0.6667, 0.6264) and Mo at (0.6667, 0.3333, 0.3912).

The total magnetic moment is 0.0 μB per formula unit. As for the relative energy among the computed polymorphs: 86.6 meV/atom. The calculation puts the total energy at -7.1014 eV/atom.

---

Entry 4:
Ir6OsRh3: optimized geometry, PBE.

It has space group P2_1/m (No. 11), with a = 10.029 Å, b = 2.726 Å, c = 10.920 Å, α = 90.00°, β = 101.32° and γ = 90.00°. The distinct sites, in fractional coordinates, are Ir at (0.002, 0.250, 0.307), Ir at (0.156, 0.250, 0.872), Ir at (0.238, 0.750, 0.301), Ir at (0.280, 0.750, 0.713), Ir at (0.308, 0.750, 0.075), Ir at (0.382, 0.250, 0.517), Os at (0.459, 0.250, 0.278), Rh at (0.081, 0.250, 0.095), Rh at (0.122, 0.750, 0.502) and Rh at (0.429, 0.250, 0.899).

The total magnetic moment is 0.0 μB per formula unit. As for the relative energy among the computed polymorphs: 0.0 meV/atom. The calculation puts the total energy at -8.5133 eV/atom.

---

Entry 5:
CeGdCd2: optimized geometry, PBE.

It has space group P4/mmm (No. 123), with a = 4.778 Å, b = 4.778 Å, c = 4.667 Å, α = 90.00°, β = 90.00° and γ = 90.00°. The distinct sites, in fractional coordinates, are Ce at (0.000, 0.000, 0.000), Gd at (0.500, 0.500, 0.000) and Cd at (0.000, 0.500, 0.500).

The total magnetic moment is 8.5 μB per formula unit. As for the relative energy among the computed polymorphs: 32.2 meV/atom. The calculation puts the total energy at -5.6622 eV/atom.

---

Entry 6:
LaAl2Pt: optimized geometry, PBE.

It has space group Immm (No. 71), with a = 3.048 Å, b = 5.347 Å, c = 10.342 Å, α = 90.00°, β = 90.00° and γ = 90.00°. The distinct sites, in fractional coordinates, are La at (0.000, 0.000, 0.000), Al at (0.000, 0.500, 0.211) and Pt at (0.000, 0.000, 0.500).

The total magnetic moment is 0.0 μB per formula unit. The calculation puts the total energy at -5.1333 eV/atom.

---

Entry 7:
CePdSe2: optimized geometry, PBE.

It has space group P2_1/c (No. 14), with a = 6.639 Å, b = 7.458 Å, c = 7.229 Å, α = 90.00°, β = 96.13° and γ = 90.00°. The distinct sites, in fractional coordinates, are Ce at (0.208, 0.049, 0.299), Pd at (0.451, 0.680, 0.471), Se at (0.073, 0.727, 0.500) and Se at (0.378, 0.092, 0.710).

The total magnetic moment is 0.2 μB per formula unit. As for the relative energy among the computed polymorphs: 0.0 meV/atom. The calculation puts the total energy at -5.7908 eV/atom. The uncorrected formation energy comes out at -1267 meV/atom.

---

Entry 8:
La2AlGa12: optimized geometry, PBE.

It has space group P4/nbm (No. 125, origin choice 2), with a = 6.397 Å, b = 6.397 Å, c = 15.163 Å, α = 90.00°, β = 90.00° and γ = 90.00°. The distinct sites, in fractional coordinates, are La at (0.250, 0.750, 0.243), Al at (0.250, 0.750, 0.000), Ga at (0.001, 0.501, 0.089), Ga at (0.076, 0.576, 0.572), Ga at (0.250, 0.250, 0.179) and Ga at (0.250, 0.250, 0.344).

The total magnetic moment is 0.0 μB per formula unit. The calculation puts the total energy at -3.6575 eV/atom.

---

Entry 9:
TaVGe2: optimized geometry, PBE.

It has space group I-42d (No. 122), with a = 5.443 Å, b = 5.443 Å, c = 12.835 Å, α = 90.00°, β = 90.00° and γ = 90.00°. The distinct sites, in fractional coordinates, are Ta at (0.000, 0.000, 0.000), V at (0.000, 0.000, 0.500) and Ge at (0.239, 0.250, 0.625).

The total magnetic moment is 2.0 μB per formula unit. As for the relative energy among the computed polymorphs: 960.9 meV/atom. The calculation puts the total energy at -6.6110 eV/atom.

---

Entry 10:
Sr2BiI: optimized geometry, PBE.

It has space group P4/mmm (No. 123), with a = 5.975 Å, b = 5.975 Å, c = 4.096 Å, α = 90.00°, β = 90.00° and γ = 90.00°. The distinct sites, in fractional coordinates, are Sr at (0.000, 0.500, 0.000), Bi at (0.000, 0.000, 0.500) and I at (0.500, 0.500, 0.500).

The total magnetic moment is 0.0 μB per formula unit. The calculation puts the total energy at -3.2280 eV/atom. The uncorrected formation energy comes out at -1029 meV/atom.

---

Entry 11:
AsRh2Cl: optimized geometry, PBE.

It has space group I-42d (No. 122), with a = 5.543 Å, b = 5.543 Å, c = 11.000 Å, α = 90.00°, β = 90.00° and γ = 90.00°. The distinct sites, in fractional coordinates, are As at (0.000, 0.000, 0.000), Rh at (0.230, 0.250, 0.125) and Cl at (0.000, 0.000, 0.500).

The total magnetic moment is 0.0 μB per formula unit. As for the relative energy among the computed polymorphs: 267.1 meV/atom. The calculation puts the total energy at -5.2360 eV/atom. The uncorrected formation energy comes out at 64 meV/atom.

---

Entry 12:
KFe4Au: optimized geometry, PBE.

It has space group F-43m (No. 216), with a = 7.277 Å, b = 7.277 Å, c = 7.277 Å, α = 90.00°, β = 90.00° and γ = 90.00°. The distinct sites, in fractional coordinates, are K at (0.000, 0.000, 0.000), Fe at (0.125, 0.125, 0.375) and Au at (0.250, 0.250, 0.750).

The total magnetic moment is 11.2 μB per formula unit. The calculation puts the total energy at -5.7439 eV/atom.